(1)
Material: LaSm2CuS5
Method: DFT, PBE
State: relaxed

## Properties
total magnetic moment: 0.0 μB per cell
uncorrected formation energy: -1729 meV/atom
total energy: -54.66 eV/f.u.

Cell: 3.9084 18.5955 11.2097 Å, 90.00 90.00 90.00°
Closest atoms and distances in Å follow each position.
Space group Cmc2_1 (No. 36)
One atom of each set of equivalent atoms:
La 0.0000 0.1990 0.0000 (multiplicity 4)  6 S 2.85-3.02
Sm 0.0000 0.0894 0.6755 (multiplicity 4)  7 S 2.83-2.94
Sm 0.0000 0.1094 0.3029 (multiplicity 4)  7 S 2.79-3.02
Cu 0.0000 0.4375 0.4443 (multiplicity 4)  4 S 2.28-2.37
S 0.0000 0.0489 0.0528 (multiplicity 4)  2 Cu 2.32
S 0.0000 0.3022 0.6875 (multiplicity 4)  2 Sm 2.86, 2 La 2.87
S 0.0000 0.3328 0.3231 (multiplicity 4)  1 Cu 2.37
S 0.0000 0.3616 0.9975 (multiplicity 4)  4 Sm 2.94-2.98, 1 La 3.02
S 0.0000 0.4960 0.7732 (multiplicity 4)  1 Cu 2.28

***

(2)
Material: TlWBr2
Method: DFT, PBE
State: relaxed

## Properties
DOS(E_F): 0.452 states/eV per atom
total magnetic moment: 0.9 μB per cell
uncorrected formation energy: 605 meV/atom
total energy: -16.25 eV/f.u.

Cell: 3.1381 4.9400 7.1447 Å, 90.00 90.31 90.00°
Closest atoms and distances in Å follow each position.
Space group Pm (No. 6)
One atom of each set of equivalent atoms:
Tl 0.0000 0.0000 0.0000 (multiplicity 1)  2 Tl 3.14, 2 Br 3.23-3.24
W 0.4959 0.5000 0.6822 (multiplicity 1)  3 Br 2.49-2.53
Br 0.4922 0.5000 0.3335 (multiplicity 1)  1 W 2.49
Br 0.4938 0.0000 0.6037 (multiplicity 1)  2 W 2.53

***

(3)
Material: SrAu
Method: DFT, PBE
State: relaxed

## Properties
DOS(E_F): 0.383 states/eV per atom
energy of formation: -0.61 eV per atom
total magnetic moment: 0.0 μB per cell
total energy: -6.18 eV/f.u.

Cell: 4.7889 4.7889 21.8670 Å, 90.00 90.00 120.00°
Closest atoms and distances in Å follow each position.
Space group R-3m (No. 166, hexagonal axes)
One atom of each set of equivalent atoms:
Sr 0.0000 0.0000 0.0852 (multiplicity 6)  6 Au 3.31-3.36
Au 0.0000 0.0000 0.3315 (multiplicity 6)  3 Au 2.77

***

(4)
Material: Y2ErHg
Method: DFT, PBE
State: relaxed

## Properties
DOS(E_F): 1.283 states/eV per atom
energy of formation: -0.17 eV per atom
total magnetic moment: 2.1 μB per cell
total energy: -18.47 eV/f.u.

Cell: 3.6523 3.6523 31.2660 Å, 90.00 90.00 120.00°
Closest atoms and distances in Å follow each position.
Space group R3m (No. 160, hexagonal axes)
One atom of each set of equivalent atoms:
Y 0.0000 0.0000 0.0000 (multiplicity 3)  3 Hg 3.18, 3 Er 3.53
Y 0.0000 0.0000 0.1809 (multiplicity 3)  3 Hg 3.19, 3 Er 3.53
Er 0.0000 0.0000 0.7571 (multiplicity 3)  6 Y 3.53, 6 Er 3.65
Hg 0.0000 0.0000 0.5907 (multiplicity 3)  6 Y 3.18-3.19